Density functional theory data (PBE) for Dy2Zn3Ga2 after structural relaxation.

Cell and atoms, written as POSCAR:
```
Dy2Zn3Ga2
1.0
4.3142 0.0000 0.0000
-2.1571 4.9582 -1.6499
0.0000 -0.4672 6.4915
Ga Dy Zn
2 2 3
direct
0.8505 0.7010 0.7508
0.1495 0.2990 0.2492
0.1524 0.3048 0.7661
0.8476 0.6952 0.2339
0.5000 0.0000 0.0000
0.4081 0.8161 0.5788
0.5919 0.1839 0.4212
```

Calculated values
Volume ... 19.36 A^3/atom
Space group ... C2/m (12)
Formation energy from the elements ... -0.467 eV per atom

***

Density functional theory data (PBE) for Dy3ZnGa2 after structural relaxation.

Cell and atoms, written as POSCAR:
```
Dy3ZnGa2
1.0
3.5598 0.0000 0.0000
0.0000 3.5598 0.0000
0.0000 0.0000 10.7600
Dy Ga Zn
3 2 1
direct
0.0000 0.0000 0.6637
0.0000 0.0000 0.0000
0.0000 0.0000 0.3363
0.5000 0.5000 0.1716
0.5000 0.5000 0.8284
0.5000 0.5000 0.5000
```

Calculated values
Volume ... 22.72 A^3/atom
Space group ... P4/mmm (123)
Formation energy from the elements ... -0.509 eV per atom

***

Density functional theory data (PBE) for Dy4ZnGa3 after structural relaxation.

Cell and atoms, written as POSCAR:
```
Dy4ZnGa3
1.0
-0.7657 3.9792 -3.0299
-3.7837 -4.0892 -4.4141
-8.4284 2.2747 5.1174
Ga Dy Zn
6 8 2
direct
0.4990 0.5000 0.2500
0.5010 0.5000 0.7500
0.0000 0.0000 0.0000
0.5011 0.0000 0.7500
0.4989 0.0000 0.2500
0.0000 0.0000 0.5000
0.5000 0.7490 0.5000
0.0007 0.7490 0.7500
0.5000 0.2510 0.5000
0.5000 0.2510 0.0000
0.0007 0.2510 0.7500
0.5000 0.7490 0.0000
0.9993 0.7490 0.2500
0.9993 0.2510 0.2500
0.0000 0.5000 0.0000
0.0000 0.5000 0.5000
```

Calculated values
Volume ... 22.75 A^3/atom
Space group ... Pmma (51)
Formation energy from the elements ... -0.537 eV per atom

***

Which value of formation energy from the elements does entry 2 give?
-0.509 eV per atom

***

Which value of volume does entry 2 give?
22.72 A^3/atom